Record 1
DFT (PBE) results for a relaxed PrInAu3 crystal.

Cell lengths 5.9360, 5.9927, 7.1031 Å; angles 114.95, 98.56, 90.00 degrees
Sites, in units of the cell vectors:
Pr 0.7706 0.6107 0.2214
Au 0.6895 0.5887 0.7012
Pr 0.2294 0.3893 0.7786
Au 0.1413 0.8076 0.6152
In 0.5000 0.0000 0.0000
Au 0.8587 0.1924 0.3848
Au 0.3105 0.8875 0.2988
Au 0.3105 0.4113 0.2988
In 0.0000 0.0000 0.0000
Au 0.6895 0.1125 0.7012

Values from the calculation:
energy above the lowest structure with this stoichiometry: 0.0466 eV/atom
Fermi-level density of states: 2.368 states/eV/f.u.
ΔE_f: -0.4866 eV per atom

***

Record 2
DFT (PBE) results for a relaxed PrIn4Au2 crystal.

Cell lengths 4.4217, 4.5601, 8.9259 Å; angles 104.80, 90.00, 90.00 degrees
Sites, in units of the cell vectors:
In 0.0000 0.3163 0.6326
In 0.5000 0.8245 0.6490
In 0.0000 0.6837 0.3674
In 0.5000 0.1755 0.3510
Au 0.5000 0.4224 0.8447
Pr 0.0000 0.0000 0.0000
Au 0.5000 0.5776 0.1553

Values from the calculation:
energy above the lowest structure with this stoichiometry: 0.1020 eV/atom
Fermi-level density of states: 2.146 states/eV/f.u.
ΔE_f: -0.3260 eV per atom

***

Record 3
DFT (PBE) results for a relaxed Pr2In2Au crystal.

Cell lengths 4.7370, 6.1854, 10.5794 Å; angles 87.15, 77.06, 67.49 degrees
Sites, in units of the cell vectors:
Pr 0.6798 0.3126 0.3278
Pr 0.3202 0.6874 0.6722
Au 0.3873 0.8928 0.3325
In 0.0923 0.2619 0.5535
Pr 0.0660 0.7500 0.1180
In 0.9077 0.7381 0.4465
In 0.6442 0.8212 0.8905
In 0.3558 0.1788 0.1095
Pr 0.9340 0.2500 0.8820
Au 0.6127 0.1072 0.6675

Values from the calculation:
Fermi-level density of states: 3.854 states/eV/f.u.
ΔE_f: -0.5821 eV per atom

***

Record 4
DFT (PBE) results for a relaxed PrIn2Au2 crystal.

Cell lengths 6.3685, 6.4296, 7.8779 Å; angles 78.38, 66.04, 60.32 degrees
Sites, in units of the cell vectors:
Au 0.1507 0.1982 0.2497
In 0.2759 0.7501 0.4506
In 0.5259 0.2502 0.9505
Pr 0.8747 0.7505 0.2501
Pr 0.1253 0.2495 0.7499
Au 0.8493 0.8018 0.7503
Au 0.5982 0.3019 0.2504
Au 0.4018 0.6981 0.7496
In 0.4741 0.7498 0.0495
In 0.7241 0.2499 0.5494

Values from the calculation:
Fermi-level density of states: 2.311 states/eV/f.u.
ΔE_f: -0.3569 eV per atom

***

Record 5
DFT (PBE) results for a relaxed Pr4In3Au crystal.

Cell lengths 3.7145, 3.7145, 16.7306 Å; angles 90.00, 90.00, 90.00 degrees
Sites, in units of the cell vectors:
In 0.5000 0.5000 0.7585
Au 0.5000 0.5000 0.0000
Pr 0.0000 0.0000 0.1125
Pr 0.0000 0.0000 0.6291
In 0.5000 0.5000 0.2415
Pr 0.0000 0.0000 0.3709
In 0.5000 0.5000 0.5000
Pr 0.0000 0.0000 0.8875

Values from the calculation:
Fermi-level density of states: 6.668 states/eV/f.u.
ΔE_f: -0.5503 eV per atom

***

Record 6
DFT (PBE) results for a relaxed PrInAu3 crystal.

Cell lengths 5.6860, 5.9788, 6.9918 Å; angles 90.00, 90.00, 102.40 degrees
Sites, in units of the cell vectors:
Au 0.3217 0.6492 0.0489
In 0.4150 0.1079 0.2500
Au 0.3217 0.6492 0.4511
Pr 0.1631 0.2517 0.7500
Pr 0.8369 0.7483 0.2500
Au 0.9964 0.2682 0.2500
Au 0.6783 0.3508 0.5489
Au 0.0036 0.7318 0.7500
In 0.5850 0.8921 0.7500
Au 0.6783 0.3508 0.9511

Values from the calculation:
energy above the lowest structure with this stoichiometry: 0.0000 eV/atom
Fermi-level density of states: 3.196 states/eV/f.u.
ΔE_f: -0.5332 eV per atom

***

Record 7
DFT (PBE) results for a relaxed Pr6In2Au crystal.

Cell lengths 5.2419, 10.3812, 10.3867 Å; angles 90.00, 90.00, 90.00 degrees
Sites, in units of the cell vectors:
In 0.0003 0.2975 0.7971
Pr 0.9999 0.6208 0.8796
Pr 0.9999 0.9790 0.8165
Pr 0.4998 0.8165 0.0213
Pr 0.9998 0.6835 0.5213
Pr 0.0002 0.3165 0.4787
In 0.4997 0.7974 0.7030
Pr 0.4999 0.5210 0.3165
Pr 0.4999 0.8792 0.3796
Pr 0.5002 0.1835 0.9787
Pr 0.5001 0.1208 0.6204
Pr 0.0001 0.3792 0.1204
Au 0.5000 0.5000 0.0000
Au 0.0000 0.0000 0.5000
In 0.5003 0.2026 0.2970
Pr 0.0001 0.0210 0.1835
Pr 0.5001 0.4790 0.6835
In 0.9997 0.7025 0.2029

Values from the calculation:
energy above the lowest structure with this stoichiometry: 0.0310 eV/atom
Fermi-level density of states: 11.246 states/eV/f.u.
ΔE_f: -0.3619 eV per atom

***

Record 8
DFT (PBE) results for a relaxed Pr6InAu5 crystal.

Cell lengths 5.2829, 7.6047, 8.4305 Å; angles 90.00, 108.20, 90.01 degrees
Sites, in units of the cell vectors:
Pr 0.1708 0.2506 0.3418
Au 0.3468 0.0000 0.6927
Pr 0.8292 0.7494 0.6582
Au 0.0000 0.5000 0.0000
Pr 0.4999 0.7363 0.0000
Pr 0.8291 0.2505 0.6582
Pr 0.5001 0.2637 0.0000
In 0.0000 0.0000 0.0000
Pr 0.1709 0.7495 0.3418
Au 0.6672 0.5000 0.3350
Au 0.3328 0.5000 0.6650
Au 0.6532 0.0000 0.3073

Values from the calculation:
Fermi-level density of states: 9.493 states/eV/f.u.
ΔE_f: -0.6900 eV per atom

***

Record 9
DFT (PBE) results for a relaxed Pr2InAu crystal.

Cell lengths 3.7419, 3.7419, 8.0240 Å; angles 90.00, 90.00, 90.00 degrees
Sites, in units of the cell vectors:
In 0.5000 0.5000 0.5000
Pr 0.0000 0.0000 0.2324
Au 0.5000 0.5000 0.0000
Pr 0.0000 0.0000 0.7676

Values from the calculation:
Fermi-level density of states: 3.814 states/eV/f.u.
ΔE_f: -0.6100 eV per atom

***

Record 10
DFT (PBE) results for a relaxed PrInAu6 crystal.

Cell lengths 4.5899, 5.4722, 6.6854 Å; angles 90.00, 90.00, 90.00 degrees
Sites, in units of the cell vectors:
Au 0.0000 0.6723 0.5000
In 0.5000 0.3603 0.5000
Au 0.5000 0.2439 0.0000
Pr 0.0000 0.6683 0.0000
Au 0.5000 0.8487 0.2829
Au 0.0000 0.1788 0.2676
Au 0.0000 0.1788 0.7324
Au 0.5000 0.8487 0.7171

Values from the calculation:
energy above the lowest structure with this stoichiometry: 0.0000 eV/atom
Fermi-level density of states: 3.018 states/eV/f.u.
ΔE_f: -0.3404 eV per atom

***

Record 11
DFT (PBE) results for a relaxed PrInPtAu crystal.

Cell lengths 5.0095, 5.0095, 5.0095 Å; angles 60.00, 60.00, 60.00 degrees
Sites, in units of the cell vectors:
Pt 0.7500 0.7500 0.7500
Au 0.2500 0.2500 0.2500
In 0.5000 0.5000 0.5000
Pr 0.0000 0.0000 0.0000

Values from the calculation:
Fermi-level density of states: 2.547 states/eV/f.u.
ΔE_f: -0.7105 eV per atom

***

Record 12
DFT (PBE) results for a relaxed PrPuInAu crystal.

Cell lengths 5.3553, 5.3553, 5.3553 Å; angles 60.00, 60.00, 60.00 degrees
Each line ends with the local moment (μB).
Sites, in units of the cell vectors:
In 0.5000 0.5000 0.5000  -0.01
Au 0.0000 0.0000 0.0000  0.01
Pu 0.2500 0.2500 0.2500  5.43
Pr 0.7500 0.7500 0.7500  0.09

Values from the calculation:
Fermi-level density of states: 12.064 states/eV/f.u.
ΔE_f: -0.3469 eV per atom

***

Record 13
DFT (PBE) results for a relaxed PrInSi2Au6 crystal.

Cell lengths 6.5501, 6.5501, 8.4569 Å; angles 67.22, 67.22, 60.00 degrees
Sites, in units of the cell vectors:
Au 0.8812 0.5349 0.1951
Au 0.3888 0.8812 0.1951
Au 0.4651 0.6112 0.8049
In 0.5000 0.5000 0.5000
Au 0.6112 0.1188 0.8049
Pr 0.0000 0.0000 0.0000
Si 0.3010 0.3010 0.0969
Au 0.5349 0.3888 0.1951
Au 0.1188 0.4651 0.8049
Si 0.6990 0.6990 0.9031

Values from the calculation:
Fermi-level density of states: 5.374 states/eV/f.u.
formation energy (no corrections): -0.056 eV per atom

***

Record 14
DFT (PBE) results for a relaxed PrInSnAu crystal.

Cell lengths 5.2503, 5.2503, 5.2503 Å; angles 60.00, 60.00, 60.00 degrees
Sites, in units of the cell vectors:
In 0.0000 0.0000 0.0000
Pr 0.7500 0.7500 0.7500
Au 0.5000 0.5000 0.5000
Sn 0.2500 0.2500 0.2500

Values from the calculation:
Fermi-level density of states: 3.206 states/eV/f.u.
ΔE_f: -0.3988 eV per atom

***

Record 15
DFT (PBE) results for a relaxed Tb2PrInAu4 crystal.

Cell lengths 5.0673, 5.0673, 8.9678 Å; angles 73.59, 73.59, 60.00 degrees
Sites, in units of the cell vectors:
Pr 0.0000 0.0000 0.0000
Tb 0.7593 0.7593 0.7222
Au 0.6260 0.6260 0.1220
Au 0.1204 0.1204 0.6388
Au 0.8796 0.8796 0.3612
Tb 0.2407 0.2407 0.2778
In 0.5000 0.5000 0.5000
Au 0.3740 0.3740 0.8780

Values from the calculation:
Fermi-level density of states: 5.396 states/eV/f.u.
ΔE_f: -0.7367 eV per atom

***

Record 16
DFT (PBE) results for a relaxed PrThInAu crystal.

Cell lengths 5.4037, 5.4037, 5.4037 Å; angles 60.00, 60.00, 60.00 degrees
Each line ends with the local moment (μB).
Sites, in units of the cell vectors:
Th 0.7500 0.7500 0.7500  0.18
In 0.5000 0.5000 0.5000  0.00
Pr 0.2500 0.2500 0.2500  0.16
Au 0.0000 0.0000 0.0000  0.04

Values from the calculation:
Fermi-level density of states: 4.317 states/eV/f.u.
ΔE_f: -0.4197 eV per atom

***

Record 17
DFT (PBE) results for a relaxed PrTmInAu crystal.

Cell lengths 5.3025, 5.3025, 5.3025 Å; angles 60.00, 60.00, 60.00 degrees
Sites, in units of the cell vectors:
Au 0.0000 0.0000 0.0000
In 0.5000 0.5000 0.5000
Pr 0.2500 0.2500 0.2500
Tm 0.7500 0.7500 0.7500

Values from the calculation:
Fermi-level density of states: 3.731 states/eV/f.u.
ΔE_f: -0.5685 eV per atom

***

Record 18
DFT (PBE) results for a relaxed PrYInAu crystal.

Cell lengths 5.3378, 5.3378, 5.3378 Å; angles 60.00, 60.00, 60.00 degrees
Each line ends with the local moment (μB).
Sites, in units of the cell vectors:
Pr 0.2500 0.2500 0.2500  0.06
Y 0.7500 0.7500 0.7500  0.06
In 0.5000 0.5000 0.5000  0.00
Au 0.0000 0.0000 0.0000  0.01

Values from the calculation:
Fermi-level density of states: 4.263 states/eV/f.u.
ΔE_f: -0.5856 eV per atom

***

Record 19
DFT (PBE) results for a relaxed PrZnInAu crystal.

Cell lengths 5.0327, 5.0327, 5.0327 Å; angles 60.00, 60.00, 60.00 degrees
Sites, in units of the cell vectors:
Au 0.5000 0.5000 0.5000
Pr 0.2500 0.2500 0.2500
In 0.7500 0.7500 0.7500
Zn 0.0000 0.0000 0.0000

Values from the calculation:
Fermi-level density of states: 1.635 states/eV/f.u.
ΔE_f: -0.5232 eV per atom

***

Record 20
DFT (PBE) results for a relaxed PrZn2In2Au2 crystal.

Cell lengths 4.5689, 4.5689, 9.0663 Å; angles 75.41, 75.41, 60.00 degrees
Sites, in units of the cell vectors:
In 0.1346 0.1346 0.5963
Au 0.4035 0.4035 0.7894
Zn 0.2542 0.2542 0.2375
In 0.8654 0.8654 0.4037
Pr 0.0000 0.0000 0.0000
Zn 0.7458 0.7458 0.7625
Au 0.5965 0.5965 0.2106

Values from the calculation:
Fermi-level density of states: 4.540 states/eV/f.u.
ΔE_f: -0.3854 eV per atom